1.
First-principles (PBE) data for a relaxed TiNb2Te6 crystal, as listed in Alexandria.

a b c (Å): 7.8167 7.8167 9.5468
angles (deg): 111.59 111.59 27.34
Fractional positions:
Ti 0.0000 0.0000 0.0000
Nb 0.3237 0.3237 0.6476
Nb 0.6763 0.6763 0.3524
Te 0.0261 0.0261 0.3054
Te 0.3154 0.3154 0.3517
Te 0.3589 0.3589 0.9675
Te 0.6411 0.6411 0.0325
Te 0.6846 0.6846 0.6483
Te 0.9739 0.9739 0.6946

Results
ΔE_f (raw): -0.52 eV/atom
DOS(E_F): 0.74 states/eV/atom
Calculated total energy: -5.73 eV/atom

2.
First-principles (PBE) data for a relaxed Ti2Nb2Te7 crystal, as listed in Alexandria.

a b c (Å): 7.1335 7.1335 7.4881
angles (deg): 90.75 90.75 111.72
Fractional positions:
Ti 0.2084 0.2084 0.1463
Ti 0.7916 0.7916 0.8537
Nb 0.1336 0.8664 0.5000
Nb 0.8664 0.1336 0.5000
Te 0.0857 0.4752 0.3032
Te 0.1278 0.1278 0.7714
Te 0.4752 0.0857 0.3032
Te 0.5000 0.5000 0.0000
Te 0.5248 0.9143 0.6968
Te 0.8722 0.8722 0.2286
Te 0.9143 0.5248 0.6968

Results
ΔE_f (raw): -0.29 eV/atom
DOS(E_F): 0.70 states/eV/atom
Calculated total energy: -5.56 eV/atom

3.
First-principles (PBE) data for a relaxed Ti2NbTe crystal, as listed in Alexandria.

a b c (Å): 4.0678 4.0678 19.3130
angles (deg): 90.00 90.00 90.00
Fractional positions:
Ti 0.2474 0.2500 0.1250
Ti 0.2500 0.7474 0.3750
Ti 0.2500 0.7526 0.8750
Ti 0.2526 0.2500 0.6250
Ti 0.7474 0.7500 0.6250
Ti 0.7500 0.2474 0.8750
Ti 0.7500 0.2526 0.3750
Ti 0.7526 0.7500 0.1250
Nb 0.0000 0.0000 0.5000
Nb 0.0000 0.5000 0.7500
Nb 0.5000 0.0000 0.2500
Nb 0.5000 0.5000 0.0000
Te 0.0000 0.0000 0.0000
Te 0.0000 0.5000 0.2500
Te 0.5000 0.0000 0.7500
Te 0.5000 0.5000 0.5000

Results
ΔE_f (raw): 0.26 eV/atom
DOS(E_F): 1.72 states/eV/atom
Calculated total energy: -6.99 eV/atom

4.
First-principles (PBE) data for a relaxed Ti2NbTe crystal, as listed in Alexandria.

a b c (Å): 8.2581 3.4584 5.3892
angles (deg): 90.00 90.00 90.00
Fractional positions:
Ti 0.2470 0.0000 0.0000
Ti 0.2470 0.5000 0.5000
Ti 0.7530 0.0000 0.0000
Ti 0.7530 0.5000 0.5000
Nb 0.0000 0.0000 0.4820
Nb 0.0000 0.5000 0.9820
Te 0.5000 0.0000 0.6451
Te 0.5000 0.5000 0.1451

Results
ΔE_f (raw): -0.12 eV/atom
DOS(E_F): 0.77 states/eV/atom
Calculated total energy: -7.37 eV/atom

5.
First-principles (PBE) data for a relaxed TiNb2Te6 crystal, as listed in Alexandria.

a b c (Å): 6.8891 7.1306 11.1561
angles (deg): 90.00 123.00 90.00
Fractional positions:
Ti 0.0000 0.0000 0.0000
Ti 0.0000 0.5000 0.5000
Nb 0.2064 0.1519 0.7466
Nb 0.2064 0.3481 0.2466
Nb 0.7936 0.6519 0.7534
Nb 0.7936 0.8481 0.2534
Te 0.0889 0.1549 0.4254
Te 0.0889 0.3451 0.9254
Te 0.2705 0.6734 0.4212
Te 0.2705 0.8266 0.9212
Te 0.4150 0.0104 0.2553
Te 0.4150 0.4896 0.7553
Te 0.5850 0.5104 0.2447
Te 0.5850 0.9896 0.7447
Te 0.7295 0.1734 0.0788
Te 0.7295 0.3266 0.5788
Te 0.9111 0.6549 0.0746
Te 0.9111 0.8451 0.5746

Results
ΔE_f (raw): -0.29 eV/atom
DOS(E_F): 0.82 states/eV/atom
Calculated total energy: -5.50 eV/atom

6.
First-principles (PBE) data for a relaxed TiNb3Te crystal, as listed in Alexandria.

a b c (Å): 4.7779 4.7779 4.7779
angles (deg): 90.00 90.00 90.00
Fractional positions:
Ti 0.0000 0.0000 0.0000
Nb 0.0000 0.0000 0.5000
Nb 0.0000 0.5000 0.0000
Nb 0.5000 0.0000 0.0000
Te 0.5000 0.5000 0.5000

Results
ΔE_f (raw): 1.05 eV/atom
DOS(E_F): 1.36 states/eV/atom
Calculated total energy: -7.20 eV/atom

7.
First-principles (PBE) data for a relaxed TiNbTe3 crystal, as listed in Alexandria.

a b c (Å): 3.4873 12.6632 7.2405
angles (deg): 90.00 90.00 90.00
Fractional positions:
Ti 0.0000 0.0000 0.0000
Ti 0.0000 0.5000 0.5000
Nb 0.5000 0.0000 0.3123
Nb 0.5000 0.5000 0.8123
Te 0.0000 0.0000 0.6070
Te 0.0000 0.5000 0.1070
Te 0.5000 0.1661 0.0687
Te 0.5000 0.3339 0.5687
Te 0.5000 0.6661 0.5687
Te 0.5000 0.8339 0.0687

Results
ΔE_f (raw): -0.32 eV/atom
DOS(E_F): 0.67 states/eV/atom
Calculated total energy: -5.80 eV/atom

8.
First-principles (PBE) data for a relaxed TiNbTe3 crystal, as listed in Alexandria.

a b c (Å): 5.2738 5.2738 5.2738
angles (deg): 90.00 90.00 90.00
Fractional positions:
Ti 0.0000 0.0000 0.0000
Nb 0.5000 0.5000 0.5000
Te 0.0000 0.0000 0.5000
Te 0.0000 0.5000 0.0000
Te 0.5000 0.0000 0.0000

Results
ΔE_f (raw): 0.49 eV/atom
DOS(E_F): 1.00 states/eV/atom
Calculated total energy: -4.98 eV/atom

9.
First-principles (PBE) data for a relaxed Ti2NbTe crystal, as listed in Alexandria.

a b c (Å): 3.5233 3.5233 5.9280
angles (deg): 90.00 90.00 90.00
Fractional positions:
Ti 0.0000 0.0000 0.2411
Ti 0.0000 0.0000 0.7589
Nb 0.5000 0.5000 0.0000
Te 0.5000 0.5000 0.5000

Results
ΔE_f (raw): -0.33 eV/atom
DOS(E_F): 0.86 states/eV/atom
Calculated total energy: -7.58 eV/atom

10.
First-principles (PBE) data for a relaxed TiNb3Te crystal, as listed in Alexandria.

a b c (Å): 4.9861 4.9861 4.9861
angles (deg): 90.00 90.00 90.00
Fractional positions:
Ti 0.0000 0.0000 0.0000
Nb 0.0000 0.5000 0.5000
Nb 0.5000 0.0000 0.5000
Nb 0.5000 0.5000 0.0000
Te 0.5000 0.5000 0.5000

Results
ΔE_f (raw): 1.36 eV/atom
DOS(E_F): 1.65 states/eV/atom
Calculated total energy: -6.89 eV/atom

11.
First-principles (PBE) data for a relaxed TiNbTl2Te crystal, as listed in Alexandria.

a b c (Å): 5.7661 5.7661 5.1352
angles (deg): 90.00 90.00 90.00
Fractional positions:
Ti 0.0000 0.0000 0.0000
Nb 0.5000 0.5000 0.0000
Tl 0.0000 0.5000 0.5000
Tl 0.5000 0.0000 0.5000
Te 0.5000 0.5000 0.5000

Results
ΔE_f (raw): 1.44 eV/atom
DOS(E_F): 1.51 states/eV/atom
Calculated total energy: -3.73 eV/atom

12.
First-principles (PBE) data for a relaxed TiNb2Tl2Te6 crystal, as listed in Alexandria.

a b c (Å): 6.7007 6.7007 9.0079
angles (deg): 98.14 98.14 121.29
Fractional positions:
Ti 0.0000 0.0000 0.0000
Nb 0.3053 0.6947 0.0000
Nb 0.6947 0.3053 0.0000
Tl 0.1535 0.8465 0.5000
Tl 0.8465 0.1535 0.5000
Te 0.0971 0.4147 0.2128
Te 0.2755 0.2755 0.8209
Te 0.4147 0.0971 0.2128
Te 0.5853 0.9029 0.7872
Te 0.7245 0.7245 0.1791
Te 0.9029 0.5853 0.7872

Results
ΔE_f (raw): -0.41 eV/atom
DOS(E_F): 0.66 states/eV/atom
Calculated total energy: -5.11 eV/atom

Question: The lowest calculated total energy belongs to which entry?
Answer: number 9